The following is a DFT calculation (PBEsol) of a relaxed KRe2Hg crystal.

Cell: 3.8275 3.8275 10.4124 Å, 90.00 90.00 90.00°
Last column: nearest neighbours and their distance in Å.
Space group I4/mmm (No. 139)
Inequivalent atoms, fractional coordinates:
K (0.0000, 0.0000, 0.0000) x2  4 Hg 2.71
Re (0.0000, 0.5000, 0.2500) x4  4 Re 2.71
Hg (0.0000, 0.0000, 0.5000) x2  4 K 2.71

Values from the calculation:
* Fermi-level density of states: 8.3 states/eV per cell
* formation energy: 37.2 kcal/mol of atoms
* M_tot: 0.000 μB/f.u.

=====

The following is a DFT calculation (PBEsol) of a relaxed KRe2Hg crystal.

Cell: 2.9873 4.7165 10.6119 Å, 90.00 90.00 90.00°
Last column: nearest neighbours and their distance in Å.
Space group Cmm2 (No. 35)
Inequivalent atoms, fractional coordinates:
K (0.0000, 0.0000, 0.0000) x2  6 K 2.79-2.99
Re (0.0000, 0.0000, 0.4691) x2  6 Re 2.56-2.79
Re (0.0000, 0.5000, 0.2735) x2  6 Re 2.56-2.79
Hg (0.0000, 0.5000, 0.7157) x2  6 Hg 2.79-2.99, 2 Re 3.01

Values from the calculation:
* Fermi-level density of states: 5.7 states/eV per cell
* formation energy: 17.7 kcal/mol of atoms
* M_tot: 0.000 μB/f.u.